ScTlSb PBE relaxed; magnetization = 0.00 μB per cell; space group = No. 216; density of states at the Fermi level = 3.184 states/eV/f.u.; energy relative to the lowest polymorph listed for this composition = 170 meV per atom; formation energy from raw total energies = -0.2098 eV per atom
1.0
0.0000 3.5113 3.5113
3.5113 0.0000 3.5113
3.5113 3.5113 0.0000
Sc Tl Sb
1 1 1
Cartesian
0.0000 0.0000 0.0000 Sc
1.7557 1.7557 1.7557 Tl
5.2670 5.2670 5.2670 Sb